(1)
# Na3Ag8Pb

A geometry-optimized Na3Ag8Pb structure (PBE, Alexandria).

N(E_F) ... 3.08 states/eV/cell
SG ... No. 160
Formation energy ... -5.9 kJ/mol of atoms
Energy ... -31.207 eV per cell

a = 5.693 Å, b = 5.693 Å, c = 9.791 Å
α = 73.10°, β = 73.10°, γ = 60.00°
Positions (direct):
Na (0.375, 0.375, 0.876)
Na (0.000, 0.000, 0.000)
Na (0.501, 0.501, 0.497)
Ag (0.936, 0.437, 0.190)
Ag (0.438, 0.937, 0.688)
Ag (0.437, 0.437, 0.190)
Ag (0.937, 0.937, 0.688)
Ag (0.187, 0.187, 0.439)
Ag (0.687, 0.687, 0.939)
Ag (0.437, 0.936, 0.190)
Ag (0.937, 0.438, 0.688)
Pb (0.878, 0.878, 0.366)

(2)
# TbHgO

A geometry-optimized TbHgO structure (PBE, Alexandria).

N(E_F) ... 3.92 states/eV/cell
SG ... No. 139
Energy ... -29.722 eV per cell
E above lowest polymorph ... 0.498 eV per atom

a = 3.700 Å, b = 3.700 Å, c = 9.106 Å
α = 101.72°, β = 101.72°, γ = 90.00°
Positions (direct):
Tb (0.080, 0.080, 0.160)
Tb (0.920, 0.920, 0.840)
O (0.000, 0.500, 0.000)
O (0.500, 0.000, 0.000)
Hg (0.699, 0.699, 0.397)
Hg (0.301, 0.301, 0.603)